[1]
# NbTe2Ru (GGA-PBEsol, relaxed)
# DOS(E_F): 4.5 states/eV/f.u.
# Volume: 21.09 Å³/atom
# M_tot: 0.000 μB per atom
# E_tot: -6.566 eV/atom
# E_form (uncorrected): 0.45 eV per atom
data_NbTe2Ru
_cell_length_a 3.2644
_cell_length_b 3.2644
_cell_length_c 27.4177
_cell_angle_alpha 90.00
_cell_angle_beta 90.00
_cell_angle_gamma 120.00
_space_group_name_H-M_alt 'R -3 m'
_space_group_IT_number 166
_space_group_name_Hall '-R 3 2"'
loop_
_atom_site_label
_atom_site_fract_x
_atom_site_fract_y
_atom_site_fract_z
Nb1 0.0000 0.0000 0.0000
Te1 0.0000 0.0000 0.0987
Ru1 0.0000 0.0000 0.5000



[2]
# La2HSBr (GGA-PBEsol, relaxed)
# DOS(E_F): 3.9 states/eV/f.u.
# Volume: 22.74 Å³/atom
# M_tot: 0.000 μB per atom
# E_tot: -4.563 eV/atom
data_La2HSBr
_cell_length_a 5.580
_cell_length_b 5.580
_cell_length_c 3.652
_cell_angle_alpha 90.00
_cell_angle_beta 90.00
_cell_angle_gamma 90.00
_space_group_name_H-M_alt 'P 4/m m m'
_space_group_IT_number 123
_space_group_name_Hall '-P 4 2'
loop_
_atom_site_label
_atom_site_fract_x
_atom_site_fract_y
_atom_site_fract_z
La1 0.000 0.500 0.000
H1 0.000 0.000 0.500
S1 0.500 0.500 0.500
Br1 0.000 0.000 0.000



[3]
# NiMo2Cl (GGA-PBEsol, relaxed)
# DOS(E_F): 4.3 states/eV/f.u.
# Volume: 13.89 Å³/atom
# M_tot: 0.000 μB per atom
# E_tot: -7.289 eV/atom
# E_form (uncorrected): 0.64 eV per atom
data_NiMo2Cl
_cell_length_a 5.329
_cell_length_b 8.022
_cell_length_c 2.743
_cell_angle_alpha 90.00
_cell_angle_beta 108.58
_cell_angle_gamma 90.00
_space_group_name_H-M_alt 'C 1 2/m 1'
_space_group_IT_number 12
loop_
_space_group_symop_operation_xyz
'x,y,z'
'-x,-y,-z'
'-x,y,-z'
'x,-y,z'
'x+1/2,y+1/2,z'
'-x+1/2,-y+1/2,-z'
'-x+1/2,y+1/2,-z'
'x+1/2,-y+1/2,z'
loop_
_atom_site_label
_atom_site_fract_x
_atom_site_fract_y
_atom_site_fract_z
Ni1 0.000 0.000 0.000
Mo1 0.250 0.250 0.500
Cl1 0.000 0.500 0.000